# Li2LaYTl4 PBE optimized geometry
data_Li2LaYTl4
_chemical_formula_sum 'Li6 La3 Y3 Tl12'
_cell_length_a 5.2581
_cell_length_b 5.2581
_cell_length_c 26.0572
_cell_angle_alpha 90.00
_cell_angle_beta 90.00
_cell_angle_gamma 120.00
_symmetry_space_group_name_H-M 'R -3 m'
_symmetry_Int_Tables_number 166
_symmetry_space_group_name_Hall '-R 3 2"'
loop_
_atom_site_label
_atom_site_fract_x
_atom_site_fract_y
_atom_site_fract_z
_atom_site_occupancy
Li1 0.0000 0.0000 0.2480 1
La1 0.0000 0.0000 0.0000 1
Y1 0.0000 0.0000 0.5000 1
Tl1 0.0000 0.0000 0.1271 1
Tl2 0.0000 0.0000 0.3788 1
# VASP energy: -3.424 eV per atom
# magnetic moment: 0.00 μB/f.u.